HoTmZnCd GGA-PBE optimized geometry; formation enthalpy at 0 K = -0.315 eV per atom; magnetic moment = 0.0 μB per cell; uncorrected energy = -3.124 eV per atom; space-group type = F-43m (216); E above lowest polymorph = 0.0174 eV per atom
1.0
0.000 3.632 3.632
3.632 0.000 3.632
3.632 3.632 0.000
Ho Tm Zn Cd
1 1 1 1
direct
0.000 0.000 0.000
0.500 0.500 0.500
0.250 0.250 0.250
0.750 0.750 0.750

---

RbCrSn2 GGA-PBE optimized geometry; formation enthalpy at 0 K = 0.341 eV per atom; magnetic moment = 5.4 μB per cell; uncorrected energy = -4.308 eV per atom; space-group type = I4_1/amd (141); E above lowest polymorph = 0.0000 eV per atom
1.0
-3.071 3.071 8.500
3.071 -3.071 8.500
3.071 3.071 -8.500
Rb Cr Sn
2 2 4
direct
0.375 0.625 0.750
0.625 0.375 0.250
0.125 0.875 0.250
0.875 0.125 0.750
0.000 0.000 0.000
0.000 0.000 0.500
0.000 0.500 0.000
0.500 0.000 0.500

---

Li2ZnCl GGA-PBE optimized geometry; energy relative to the elements, uncorrected = -0.73 eV/atom; magnetic moment = 0.0 μB per cell; uncorrected energy = -2.468 eV per atom; space-group type = P2/m (10); E above lowest polymorph = 0.0415 eV per atom
1.0
3.599 0.000 0.000
0.000 3.413 0.000
-1.097 0.000 6.200
Li Zn Cl
2 1 1
direct
0.062 0.000 0.239
0.938 0.000 0.761
0.500 0.500 0.000
0.000 0.500 0.500

---

NaPmSmTl GGA-PBE optimized geometry; formation enthalpy at 0 K = -0.087 eV per atom; magnetic moment = 0.0 μB per cell; uncorrected energy = -3.376 eV per atom; space-group type = F-43m (216)
1.0
0.000 3.899 3.899
3.899 0.000 3.899
3.899 3.899 0.000
Na Pm Sm Tl
1 1 1 1
direct
0.000 0.000 0.000
0.750 0.750 0.750
0.250 0.250 0.250
0.500 0.500 0.500

---

Question: Which value of magnetic moment does entry 2 give?
Answer: 5.4 μB per cell